This record from the Alexandria database describes an optimized crystal structure of CsFe3Cl. The functional is PBE.

POSCAR file:
```
CsFe3Cl
1.0
-1.544 4.146 2.343
0.311 -2.370 4.399
4.752 1.503 0.474
Cl Fe Cs
1 3 1
direct
0.500 0.500 0.500 Cl
0.000 0.500 0.000 Fe
0.000 0.000 0.500 Fe
0.500 0.000 0.000 Fe
0.000 0.000 0.000 Cs
```

Summary:
For the calculated total energy, the calculation gives -16.0 eV/f.u. For the formation energy from raw total energies, the calculation gives 2410 meV/atom. Its excess energy over the best structure of this formula in the dataset is 1084 meV per atom.


This record from the Alexandria database describes an optimized crystal structure of Cs4FeCl6. The functional is PBE.

POSCAR file:
```
Cs4FeCl6
1.0
-3.293 0.900 8.078
6.073 -1.325 7.384
2.285 13.661 4.170
Cs Cl Fe
8 12 2
direct
0.511 0.780 0.980 Cs
0.014 0.646 0.663 Cs
0.729 0.280 0.480 Cs
0.047 0.463 0.156 Cs
0.696 0.283 0.816 Cs
0.205 0.783 0.316 Cs
0.676 0.146 0.163 Cs
0.333 0.963 0.656 Cs
0.976 0.513 0.923 Cl
0.442 0.680 0.487 Cl
0.639 0.788 0.228 Cl
0.921 0.586 0.411 Cl
0.346 0.288 0.728 Cl
0.402 0.525 0.143 Cl
0.972 0.155 0.259 Cl
0.390 0.180 0.987 Cl
0.588 0.013 0.423 Cl
0.931 0.025 0.643 Cl
0.082 0.086 0.911 Cl
0.614 0.655 0.759 Cl
0.650 0.767 0.388 Fe
0.194 0.267 0.888 Fe
```

Summary:
For the calculated total energy, the calculation gives -40.8 eV/f.u. For the formation energy from raw total energies, the calculation gives -1620 meV/atom.